The following is a DFT calculation (PBEsol) of crystalline Y3FeTc at its relaxed geometry.

Cell: 4.898 4.898 4.898 Å, 90.00 90.00 90.00°
Fractional coordinates of all 5 atoms:
Y: 0.000 0.000 0.500
Y: 0.000 0.500 0.000
Y: 0.500 0.000 0.000
Fe: 0.000 0.000 0.000
Tc: 0.500 0.500 0.500

- Space group: Pm-3m, No. 221
- Formation energy from the elements: 0.6749 eV/atom


The following is a DFT calculation (PBEsol) of crystalline Ca2Mg2Cu3 at its relaxed geometry.

Cell: 8.010 8.010 11.740 Å, 128.82 128.82 30.96°
Fractional coordinates of all 14 atoms:
Ca: 0.049 0.049 0.370
Ca: 0.312 0.312 0.248
Ca: 0.688 0.688 0.752
Ca: 0.951 0.951 0.630
Mg: 0.329 0.329 0.714
Mg: 0.411 0.411 0.034
Mg: 0.589 0.589 0.966
Mg: 0.671 0.671 0.286
Cu: 0.071 0.071 0.131
Cu: 0.194 0.194 0.936
Cu: 0.261 0.261 0.447
Cu: 0.739 0.739 0.553
Cu: 0.806 0.806 0.064
Cu: 0.929 0.929 0.869

- Space group: C2/m, No. 12
- Formation energy from the elements: -0.0485 eV/atom


The following is a DFT calculation (PBEsol) of crystalline TlCoCu2 at its relaxed geometry.

Cell: 3.706 3.706 3.921 Å, 90.00 90.00 90.00°
Fractional coordinates of all 4 atoms:
Tl: 0.000 0.000 0.000
Co: 0.500 0.500 0.000
Cu: 0.000 0.500 0.500
Cu: 0.500 0.000 0.500

- Space group: P4/mmm, No. 123
- Formation energy from the elements: 0.3069 eV/atom
- E above lowest polymorph: 0 meV per atom


The following is a DFT calculation (PBEsol) of crystalline LaRePb2 at its relaxed geometry.

Cell: 4.488 4.488 4.781 Å, 90.00 90.00 90.00°
Fractional coordinates of all 4 atoms:
La: 0.000 0.000 0.000
Re: 0.500 0.500 0.000
Pb: 0.000 0.500 0.500
Pb: 0.500 0.000 0.500

- Space group: P4/mmm, No. 123
- Formation energy from the elements: 0.4578 eV/atom
- E above lowest polymorph: 89 meV per atom


The following is a DFT calculation (PBEsol) of crystalline Cu2HgTe at its relaxed geometry.

Cell: 4.684 4.684 4.684 Å, 124.03 112.70 93.13°
Fractional coordinates of all 4 atoms:
Cu: 0.222 0.222 0.000
Cu: 0.778 0.778 0.000
Hg: 0.000 0.500 0.500
Te: 0.500 0.000 0.500

- Space group: Immm, No. 71
- Formation energy (no corrections): 0.258 eV per atom


The following is a DFT calculation (PBEsol) of crystalline TaZnAs2 at its relaxed geometry.

Cell: 4.564 4.564 4.564 Å, 60.00 60.00 60.00°
Fractional coordinates of all 4 atoms:
Ta: 0.000 0.000 0.000
Zn: 0.750 0.750 0.750
As: 0.250 0.250 0.250
As: 0.500 0.500 0.500

- Space group: F-43m, No. 216
- Formation energy from the elements: 0.4434 eV/atom


The following is a DFT calculation (PBEsol) of crystalline Li2MoAs2 at its relaxed geometry.

Cell: 6.531 6.531 3.600 Å, 90.00 90.00 90.00°
Fractional coordinates of all 10 atoms:
Li: 0.157 0.343 0.000
Li: 0.343 0.843 0.000
Li: 0.657 0.157 0.000
Li: 0.843 0.657 0.000
Mo: 0.000 0.000 0.500
Mo: 0.500 0.500 0.500
As: 0.149 0.649 0.500
As: 0.351 0.149 0.500
As: 0.649 0.851 0.500
As: 0.851 0.351 0.500

- Space group: P4/mbm, No. 127
- Formation energy from the elements: -0.2811 eV/atom


The following is a DFT calculation (PBEsol) of crystalline YAg3 at its relaxed geometry.

Cell: 8.126 8.126 8.126 Å, 147.23 147.23 47.02°
Fractional coordinates of all 8 atoms:
Y: 0.129 0.129 0.000
Y: 0.871 0.871 0.000
Ag: 0.000 0.500 0.500
Ag: 0.250 0.750 0.500
Ag: 0.377 0.377 0.000
Ag: 0.500 0.000 0.500
Ag: 0.623 0.623 0.000
Ag: 0.750 0.250 0.500

- Space group: I4/mmm, No. 139
- Formation energy from the elements: -0.1713 eV/atom


The following is a DFT calculation (PBEsol) of crystalline K2CoMo at its relaxed geometry.

Cell: 2.673 5.804 5.113 Å, 90.00 98.61 90.00°
Fractional coordinates of all 4 atoms:
K: 0.201 0.000 0.258
K: 0.799 0.000 0.742
Co: 0.000 0.500 0.500
Mo: 0.500 0.500 0.000

- Space group: P2/m, No. 10
- Formation energy from the elements: 1.5155 eV/atom
- E above lowest polymorph: 0 meV per atom


The following is a DFT calculation (PBEsol) of crystalline Ca3Mg7Zn2 at its relaxed geometry.

Cell: 10.038 10.038 10.038 Å, 35.08 35.08 35.08°
Fractional coordinates of all 12 atoms:
Ca: 0.000 0.000 0.000
Ca: 0.144 0.144 0.144
Ca: 0.856 0.856 0.856
Mg: 0.075 0.578 0.578
Mg: 0.422 0.422 0.925
Mg: 0.422 0.925 0.422
Mg: 0.500 0.500 0.500
Mg: 0.578 0.075 0.578
Mg: 0.578 0.578 0.075
Mg: 0.925 0.422 0.422
Zn: 0.334 0.334 0.334
Zn: 0.666 0.666 0.666

- Space group: R-3m, No. 166
- Formation energy from the elements: -0.1085 eV/atom


The following is a DFT calculation (PBEsol) of crystalline Rh2Pb3 at its relaxed geometry.

Cell: 4.651 4.651 5.707 Å, 90.00 90.00 120.00°
Fractional coordinates of all 5 atoms:
Rh: 0.333 0.667 0.349
Rh: 0.667 0.333 0.651
Pb: 0.000 0.000 0.500
Pb: 0.333 0.667 0.848
Pb: 0.667 0.333 0.152

- Space group: P-3m1, No. 164
- Formation energy from the elements: 0.0119 eV/atom


The following is a DFT calculation (PBEsol) of crystalline ZnCoO3 at its relaxed geometry.

Cell: 3.744 3.744 3.744 Å, 90.00 90.00 90.00°
Fractional coordinates of all 5 atoms:
Zn: 0.000 0.000 0.000
Co: 0.500 0.500 0.500
O: 0.000 0.000 0.500
O: 0.000 0.500 0.000
O: 0.500 0.000 0.000

- Space group: Pm-3m, No. 221
- Formation energy (no corrections): 0.152 eV per atom


Number 1: energy -7.464 eV per atom. Number 2: energy -3.006 eV per atom. Number 3: energy -4.452 eV per atom. Number 4: energy -6.211 eV per atom. Number 5: energy -2.933 eV per atom. Number 6: energy -5.643 eV per atom. Number 7: energy -5.464 eV per atom. Number 8: energy -4.360 eV per atom. Number 9: energy -3.927 eV per atom. Number 10: energy -1.907 eV per atom. Number 11: energy -5.643 eV per atom. Number 12: energy -4.861 eV per atom.